The following is a PBE calculation of a geometry-optimized Hf2ScBe2 structure, from the Alexandria database.

a b c (Å): 7.3730 7.3730 3.1791
angles (deg): 90.00 90.00 90.00
Closest atoms and distances in Å follow each position.
Positions (direct):
Hf1 0.1549 0.3451 0.0000  6 Be 2.60-2.74
Hf2 0.3451 0.8451 0.0000  6 Be 2.60-2.74
Hf3 0.6549 0.1549 0.0000  6 Be 2.60-2.74
Hf4 0.8451 0.6549 0.0000  6 Be 2.60-2.74
Sc1 0.0000 0.0000 0.5000  4 Be 2.82
Sc2 0.5000 0.5000 0.5000  4 Be 2.82
Be1 0.1477 0.6477 0.5000  6 Hf 2.60-2.74, 2 Sc 2.82
Be2 0.3523 0.1477 0.5000  6 Hf 2.60-2.74, 2 Sc 2.82
Be3 0.6477 0.8523 0.5000  6 Hf 2.60-2.74, 2 Sc 2.82
Be4 0.8523 0.3523 0.5000  6 Hf 2.60-2.74, 2 Sc 2.82

Computed properties:
The value obtained for the calculated density is 8.07 Mg/m³. As for the crystal system: tetragonal. The calculation puts the formation energy at 0.017 eV per atom.



The following is a PBE calculation of a geometry-optimized Ti2TlVI structure, from the Alexandria database.

a b c (Å): 4.9261 4.9261 5.8511
angles (deg): 90.00 90.00 90.00
Closest atoms and distances in Å follow each position.
Positions (direct):
Ti1 0.0000 0.5000 0.0000  2 I 2.46
Ti2 0.5000 0.0000 0.0000  2 I 2.46
Tl1 0.0000 0.0000 0.5000  2 I 2.93
V1 0.5000 0.5000 0.5000  4 Tl 3.48, 8 Ti 3.82
I1 0.0000 0.0000 0.0000  4 Ti 2.46

Computed properties:
The value obtained for the calculated density is 5.59 Mg/m³. As for the crystal system: tetragonal. The uncorrected formation energy is 1618 meV per atom.



The following is a PBE calculation of a geometry-optimized NaS4N structure, from the Alexandria database.

a b c (Å): 8.7196 8.7196 6.0493
angles (deg): 98.10 98.10 131.99
Closest atoms and distances in Å follow each position.
Positions (direct):
Na1 0.0000 0.5000 0.0000  4 S 2.77-2.93
Na2 0.5000 0.0000 0.5000  4 S 2.77-2.93
S1 0.0318 0.1238 0.9200  1 S 1.97
S2 0.1238 0.0318 0.4200  1 S 1.97
S3 0.1752 0.5753 0.4963  1 N 1.67
S4 0.4247 0.8248 0.0037  1 N 1.67
S5 0.5753 0.1752 0.9963  1 N 1.67
S6 0.8248 0.4247 0.5037  1 N 1.67
S7 0.8762 0.9682 0.5800  1 S 1.97
S8 0.9682 0.8762 0.0800  1 S 1.97
N1 0.3478 0.6522 0.7500  2 S 1.67
N2 0.6522 0.3478 0.2500  2 S 1.67

Computed properties:
The value obtained for the calculated density is 1.71 Mg/m³. As for the crystal system: monoclinic. The uncorrected formation energy is 150 meV per atom.



The following is a PBE calculation of a geometry-optimized NdHoEr2Se4 structure, from the Alexandria database.

a b c (Å): 7.0883 4.0237 7.1680
angles (deg): 90.00 108.61 90.00
Closest atoms and distances in Å follow each position.
Positions (direct):
Nd1 0.0000 0.0000 0.0000  6 Se 2.96
Ho1 0.5000 0.5000 0.0000  6 Se 2.90-2.91
Er1 0.0000 0.5000 0.5000  6 Se 2.88-2.89
Er2 0.5000 0.0000 0.5000  6 Se 2.82-2.83
Se1 0.2543 0.0000 0.7427  3 Er 2.83-2.88, 2 Ho 2.90, 1 Nd 2.96
Se2 0.2611 0.5000 0.2625  3 Er 2.82-2.89, 1 Ho 2.91, 2 Nd 2.96
Se3 0.7389 0.5000 0.7375  3 Er 2.82-2.89, 1 Ho 2.91, 2 Nd 2.96
Se4 0.7457 0.0000 0.2573  3 Er 2.83-2.88, 2 Ho 2.90, 1 Nd 2.96

Computed properties:
The value obtained for the calculated density is 8.22 Mg/m³. As for the crystal system: monoclinic. The uncorrected formation energy is -1732 meV per atom.